Record 1
Below is a relaxed structure of SrFePb2, with properties calculated at the PBE level.

uncorrected energy: -4.25 eV/atom
symmetry: No. 10
DOS at the Fermi energy: 3.28 states/eV/cell

Cell: 3.757 4.564 6.711 Å, 90.00 102.01 90.00°
Positions (direct):
Sr: 0.000 0.000 0.000
Fe: 0.500 0.000 0.500
Pb: 0.343 0.500 0.707
Pb: 0.657 0.500 0.293

***

Record 2
Below is a relaxed structure of La2Ag4Hg5, with properties calculated at the PBE level.

uncorrected energy: -2.27 eV/atom
symmetry: No. 71
DOS at the Fermi energy: 5.86 states/eV/cell

Cell: 7.348 7.348 7.348 Å, 132.91 102.46 95.93°
Positions (direct):
La: 0.224 0.224 0.000
La: 0.776 0.776 0.000
Ag: 0.082 0.745 0.337
Ag: 0.409 0.745 0.663
Ag: 0.591 0.255 0.337
Ag: 0.918 0.255 0.663
Hg: 0.000 0.500 0.500
Hg: 0.318 0.250 0.568
Hg: 0.318 0.750 0.067
Hg: 0.682 0.250 0.933
Hg: 0.682 0.750 0.432